(1)
The following is a GGA-PBE calculation of a relaxed structure of Cs3RhPb, from Alexandria.

a = 6.1710 Å, b = 6.1710 Å, c = 6.1710 Å
α = 90.00°, β = 90.00°, γ = 90.00°
Last column: nearest neighbours and their distance in Å.
Fractional coordinates of all 5 atoms:
Cs  0.0000  0.0000  0.5000  2 Rh 3.09
Cs  0.0000  0.5000  0.0000  2 Rh 3.09
Cs  0.5000  0.0000  0.0000  2 Rh 3.09
Rh  0.0000  0.0000  0.0000  6 Cs 3.09
Pb  0.5000  0.5000  0.5000  12 Cs 4.36

For the formation energy, the calculation gives 0.486 eV/atom. For the density of states at the Fermi level, the calculation gives 1.9 states/eV/cell.

***

(2)
The following is a GGA-PBE calculation of a relaxed structure of Pm3Y3ErTe8, from Alexandria.

a = 8.8071 Å, b = 8.8071 Å, c = 8.8071 Å
α = 59.78°, β = 59.78°, γ = 59.78°
Last column: nearest neighbours and their distance in Å.
Fractional coordinates of all 15 atoms:
Pm  0.0000  0.5000  0.5000  6 Te 3.14
Pm  0.5000  0.0000  0.5000  6 Te 3.14
Pm  0.5000  0.5000  0.0000  6 Te 3.14
Y  0.0000  0.0000  0.5000  6 Te 3.07
Y  0.0000  0.5000  0.0000  6 Te 3.07
Y  0.5000  0.0000  0.0000  6 Te 3.07
Er  0.5000  0.5000  0.5000  6 Te 3.13
Te  0.2431  0.7514  0.7514  2 Y 3.07, 1 Er 3.13, 2 Pm 3.14
Te  0.2473  0.2473  0.2473  3 Y 3.07, 3 Pm 3.14
Te  0.2486  0.2486  0.7569  2 Y 3.07, 1 Er 3.13, 2 Pm 3.14
Te  0.2486  0.7569  0.2486  2 Y 3.07, 1 Er 3.13, 2 Pm 3.14
Te  0.7514  0.2431  0.7514  2 Y 3.07, 1 Er 3.13, 2 Pm 3.14
Te  0.7514  0.7514  0.2431  2 Y 3.07, 1 Er 3.13, 2 Pm 3.14
Te  0.7527  0.7527  0.7527  3 Y 3.07, 3 Pm 3.14
Te  0.7569  0.2486  0.2486  2 Y 3.07, 1 Er 3.13, 2 Pm 3.14

For the density of states at the Fermi level, the calculation gives 7.0 states/eV/cell. The value obtained for the uncorrected formation energy is -1.41 eV/atom.

***

(3)
The following is a GGA-PBE calculation of a relaxed structure of CaNd2UN4, from Alexandria.

a = 6.0608 Å, b = 3.5762 Å, c = 6.1541 Å
α = 90.00°, β = 108.71°, γ = 90.00°
Last column: nearest neighbours and their distance in Å.
Fractional coordinates of all 8 atoms:
Ca  0.0000  0.0000  0.0000  6 N 2.48-2.55
Nd  0.0000  0.5000  0.5000  6 N 2.67-2.78
Nd  0.5000  0.0000  0.5000  6 N 2.50-2.54
U  0.5000  0.5000  0.0000  6 N 2.18-2.38
N  0.2777  0.0000  0.7800  2 U 2.38, 1 Ca 2.48, 1 Nd 2.50
N  0.2817  0.5000  0.2218  1 U 2.18
N  0.7183  0.5000  0.7782  1 U 2.18
N  0.7223  0.0000  0.2200  2 U 2.38, 1 Ca 2.48, 1 Nd 2.50

For the density of states at the Fermi level, the calculation gives 4.6 states/eV/cell. The value obtained for the uncorrected formation energy is -1.34 eV/atom.

***

(4)
The following is a GGA-PBE calculation of a relaxed structure of Pr2Sm2Sn2H, from Alexandria.

a = 9.3247 Å, b = 9.3247 Å, c = 9.3247 Å
α = 150.82°, β = 150.82°, γ = 41.74°
Last column: nearest neighbours and their distance in Å.
Fractional coordinates of all 7 atoms:
Pr  0.1783  0.1783  0.0000  1 H 3.11, 5 Sn 3.27-3.41
Pr  0.8217  0.8217  0.0000  1 H 3.11, 5 Sn 3.27-3.41
Sm  0.0000  0.5000  0.5000  2 H 2.35
Sm  0.5000  0.0000  0.5000  2 H 2.35
Sn  0.3657  0.3657  0.0000  5 Pr 3.27-3.41, 4 Sm 3.32
Sn  0.6343  0.6343  0.0000  5 Pr 3.27-3.41, 4 Sm 3.32
H  0.0000  0.0000  0.0000  4 Sm 2.35

For the density of states at the Fermi level, the calculation gives 8.0 states/eV/cell.

***

(5)
The following is a GGA-PBE calculation of a relaxed structure of MnCoIrSe2, from Alexandria.

a = 4.5096 Å, b = 4.5096 Å, c = 4.3615 Å
α = 90.00°, β = 90.00°, γ = 90.00°
Last column: nearest neighbours and their distance in Å.
Fractional coordinates of all 5 atoms:
Mn  0.0000  0.0000  0.0000  2 Co 2.18, 4 Se 2.25
Co  0.0000  0.0000  0.5000  2 Mn 2.18
Ir  0.5000  0.5000  0.5000  8 Se 3.14, 4 Co 3.19
Se  0.0000  0.5000  0.0000  2 Mn 2.25
Se  0.5000  0.0000  0.0000  2 Mn 2.25

For the density of states at the Fermi level, the calculation gives 6.9 states/eV/cell. The value obtained for the uncorrected formation energy is 1.08 eV/atom.

***

(6)
The following is a GGA-PBE calculation of a relaxed structure of LaInSi2, from Alexandria.

a = 6.3845 Å, b = 6.3845 Å, c = 6.3845 Å
α = 105.18°, β = 105.18°, γ = 118.45°
Last column: nearest neighbours and their distance in Å.
Fractional coordinates of all 8 atoms:
La  0.0000  0.0000  0.0000  4 Si 3.07, 2 In 3.27
La  0.7500  0.2500  0.5000  4 Si 3.07, 2 In 3.27
In  0.2500  0.7500  0.5000  4 Si 2.67
In  0.5000  0.5000  0.0000  4 Si 2.67
Si  0.1625  0.1250  0.5375  2 In 2.67
Si  0.3750  0.8375  0.9625  2 In 2.67
Si  0.5875  0.6250  0.4625  2 In 2.67
Si  0.8750  0.4125  0.0375  2 In 2.67

For the density of states at the Fermi level, the calculation gives 0.2 states/eV/cell. The value obtained for the uncorrected formation energy is -0.08 eV/atom.

***

(7)
The following is a GGA-PBE calculation of a relaxed structure of SrLiMn4, from Alexandria.

a = 5.5309 Å, b = 5.5309 Å, c = 5.5309 Å
α = 60.00°, β = 60.00°, γ = 60.00°
Last column: nearest neighbours and their distance in Å.
Fractional coordinates of all 6 atoms:
Sr  0.0000  0.0000  0.0000  12 Mn 3.25, 4 Li 3.39
Li  0.7500  0.7500  0.7500  12 Mn 3.24, 4 Sr 3.39
Mn  0.3771  0.3771  0.3771  6 Mn 2.72-2.81
Mn  0.3771  0.3771  0.8686  6 Mn 2.72-2.81
Mn  0.3771  0.8686  0.3771  6 Mn 2.72-2.81
Mn  0.8686  0.3771  0.3771  6 Mn 2.72-2.81

For the formation energy, the calculation gives 0.599 eV/atom. For the density of states at the Fermi level, the calculation gives 6.9 states/eV/cell.

***

(8)
The following is a GGA-PBE calculation of a relaxed structure of Ce2MgAu, from Alexandria.

a = 5.1707 Å, b = 5.0858 Å, c = 6.7899 Å
α = 90.00°, β = 90.76°, γ = 90.00°
Last column: nearest neighbours and their distance in Å.
Fractional coordinates of all 8 atoms:
Ce  0.0868  0.2500  0.4030  6 Ce 2.96-3.04, 1 Au 3.15
Ce  0.4073  0.7500  0.3812  6 Ce 2.96-3.15, 1 Mg 3.20, 1 Au 3.32
Ce  0.5927  0.2500  0.6188  6 Ce 2.96-3.15, 1 Mg 3.20, 1 Au 3.32
Ce  0.9132  0.7500  0.5970  6 Ce 2.96-3.04, 1 Au 3.15
Mg  0.1168  0.2500  0.9142  4 Au 2.86-2.93, 2 Mg 3.05, 1 Ce 3.20
Mg  0.8832  0.7500  0.0858  4 Au 2.86-2.93, 2 Mg 3.05, 1 Ce 3.20
Au  0.3875  0.7500  0.8927  4 Mg 2.86-2.93, 2 Au 3.15, 1 Ce 3.15
Au  0.6125  0.2500  0.1073  4 Mg 2.86-2.93, 2 Au 3.15, 1 Ce 3.15

As for the excess energy over the best structure of this formula in the dataset: 0.058 eV per atom. For the formation energy, the calculation gives -0.234 eV/atom. For the density of states at the Fermi level, the calculation gives 14.6 states/eV/cell.

***

(9)
The following is a GGA-PBE calculation of a relaxed structure of Dy3As2PRh9, from Alexandria.

a = 6.6109 Å, b = 6.6109 Å, c = 7.4761 Å
α = 90.00°, β = 90.00°, γ = 120.00°
Last column: nearest neighbours and their distance in Å.
Fractional coordinates of all 15 atoms:
Dy  0.0000  0.0000  0.0000  6 Rh 2.78
Dy  0.3333  0.6667  0.6916  9 Rh 2.99-3.32
Dy  0.6667  0.3333  0.3084  9 Rh 2.99-3.32
As  0.3333  0.6667  0.2030  6 Rh 2.29-2.44
As  0.6667  0.3333  0.7970  6 Rh 2.29-2.44
P  0.0000  0.0000  0.5000  6 Rh 2.22
Rh  0.0000  0.5000  0.0000  2 As 2.44
Rh  0.1437  0.2873  0.3001  1 P 2.22, 1 As 2.29
Rh  0.1437  0.8563  0.3001  1 P 2.22, 1 As 2.29
Rh  0.2873  0.1437  0.6999  1 P 2.22, 1 As 2.29
Rh  0.5000  0.0000  0.0000  2 As 2.44
Rh  0.5000  0.5000  0.0000  2 As 2.44
Rh  0.7127  0.8563  0.3001  1 P 2.22, 1 As 2.29
Rh  0.8563  0.1437  0.6999  1 P 2.22, 1 As 2.29
Rh  0.8563  0.7127  0.6999  1 P 2.22, 1 As 2.29

For the formation energy, the calculation gives -0.552 eV/atom. For the density of states at the Fermi level, the calculation gives 6.7 states/eV/cell.

***

| no. | magnetization (μB/cell) | VASP energy (eV per formula unit) |
| --- | --- | --- |
| 1 | 2.359 | -11.2 |
| 2 | 0.000 | -84.5 |
| 3 | 0.619 | -66.8 |
| 4 | 0.002 | -34.8 |
| 5 | 4.177 | -26.7 |
| 6 | 0.000 | -18.8 |
| 7 | 14.820 | -36.7 |
| 8 | 0.000 | -17.7 |
| 9 | 0.000 | -103.0 |